VASP calculation (meta-GGA SCAN) on a crystal of Ta3HgRu relaxed with PBEsol.

Cell and atoms, written as POSCAR:
```
Ta3HgRu
1.0
4.735 0.000 0.000
0.000 4.735 0.000
0.000 0.000 4.735
Ta Hg Ru
3 1 1
Cartesian
0.000 0.000 2.368
0.000 2.368 0.000
2.368 0.000 0.000
2.368 2.368 2.368
0.000 0.000 0.000
```

Summary:
The total energy comes out at -59.50 eV/atom. As for the density of states at the Fermi level: 3.64 states/eV per cell. The formation energy comes out at 1.046 eV/atom. As for the crystal system: cubic. Its space group is Pm-3m. The value obtained for the calculated volume is 106.2 Å³ per cell.